# 1
# LiCa2TcF (PBE-GGA, optimized geometry)
# - formation energy without anion corrections (eV/atom) = -0.284
# - volume (Å³/cell) = 104.81
# - total energy (eV/atom) = -3.91
data_LiCa2TcF
_chemical_formula_sum 'Li1 Ca2 Tc1 F1'
_space_group_name_H-M_alt 'P 4/m m m'
_space_group_IT_number 123
_space_group_name_Hall '-P 4 2'
_cell_length_a 5.688
_cell_length_b 5.688
_cell_length_c 3.240
_cell_angle_alpha 90.00
_cell_angle_beta 90.00
_cell_angle_gamma 90.00
loop_
_atom_site_label
_atom_site_fract_x
_atom_site_fract_y
_atom_site_fract_z
Li1 0.000 0.000 0.000
Ca1 0.000 0.500 0.000
Tc1 0.500 0.500 0.500
F1 0.000 0.000 0.500

---

# 2
# HfGaN2 (PBE-GGA, optimized geometry)
# - formation energy without anion corrections (eV/atom) = -0.706
# - volume (Å³/cell) = 218.05
# - total energy (eV/atom) = -8.11
data_HfGaN2
_chemical_formula_sum 'Hf4 Ga4 N8'
_space_group_name_H-M_alt 'I -4 2 d'
_space_group_IT_number 122
_space_group_name_Hall 'I -4 2bw'
_cell_length_a 4.811
_cell_length_b 4.811
_cell_length_c 9.419
_cell_angle_alpha 90.00
_cell_angle_beta 90.00
_cell_angle_gamma 90.00
loop_
_atom_site_label
_atom_site_fract_x
_atom_site_fract_y
_atom_site_fract_z
Hf1 0.000 0.000 0.000
Ga1 0.000 0.000 0.500
N1 0.235 0.250 0.625

---

# 3
# Ac2MgCd3 (PBE-GGA, optimized geometry)
# - formation enthalpy at 0 K (meV/atom) = -278
# - volume (Å³/cell) = 1438.36
# - total energy (eV/atom) = -2.37
data_Ac2MgCd3
_chemical_formula_sum 'Ac16 Mg8 Cd24'
_space_group_name_H-M_alt 'F m m m'
_space_group_IT_number 69
_space_group_name_Hall '-F 2 2'
_cell_length_a 7.570
_cell_length_b 10.457
_cell_length_c 18.171
_cell_angle_alpha 90.00
_cell_angle_beta 90.00
_cell_angle_gamma 90.00
loop_
_atom_site_label
_atom_site_fract_x
_atom_site_fract_y
_atom_site_fract_z
Ac1 0.246 0.000 0.000
Ac2 0.250 0.250 0.250
Mg1 0.000 0.000 0.333
Cd1 0.000 0.000 0.168
Cd2 0.000 0.248 0.416

---

# 4
# FeBSN2 (PBE-GGA, optimized geometry)
# - formation energy without anion corrections (eV/atom) = 1.390
# - volume (Å³/cell) = 60.16
# - total energy (eV/atom) = -5.79
data_FeBSN2
_chemical_formula_sum 'Fe1 B1 S1 N2'
_space_group_name_H-M_alt 'P 4/m m m'
_space_group_IT_number 123
_space_group_name_Hall '-P 4 2'
_cell_length_a 3.453
_cell_length_b 3.453
_cell_length_c 5.044
_cell_angle_alpha 90.00
_cell_angle_beta 90.00
_cell_angle_gamma 90.00
loop_
_atom_site_label
_atom_site_fract_x
_atom_site_fract_y
_atom_site_fract_z
Fe1 0.000 0.000 0.000
B1 0.500 0.500 0.500
S1 0.000 0.000 0.500
N1 0.000 0.500 0.000